This record from the Alexandria database describes crystalline La3Nd2Ag3 at its relaxed geometry. The functional is GGA-PBE.

Cell and atoms, written as POSCAR:
```
La3Nd2Ag3
1.0
-2.4385 2.8381 0.7858
-4.1605 -3.6378 0.2282
5.1721 -1.0489 10.5373
La Nd Ag
3 2 3
Direct
0.3796 0.3796 0.7593
0.6204 0.6204 0.2407
0.5000 0.0000 0.0000
0.2690 0.7690 0.5380
0.7310 0.2310 0.4620
0.8811 0.8811 0.7622
0.0000 0.5000 0.0000
0.1189 0.1189 0.2378
```

Computed properties:
* uncorrected energy: -34.31 eV per cell
* Fermi-level density of states: 9.168 states/eV/cell
* space group: No. 71